Entry 1:
# PBE ScInOs2, optimized geometry
# **Energy of formation**: 164 meV/atom
# **VASP energy**: -61.7 eV/cell
data_ScInOs2
_cell_length_a 3.9734
_cell_length_b 3.9734
_cell_length_c 8.5732
_cell_angle_alpha 90.00
_cell_angle_beta 90.00
_cell_angle_gamma 90.00
_space_group_name_H-M_alt 'I -4 m 2'
_space_group_IT_number 119
_space_group_name_Hall 'I -4 -2'
loop_
_atom_site_label
_atom_site_type_symbol
_atom_site_fract_x
_atom_site_fract_y
_atom_site_fract_z
Sc1 Sc 0.0000 0.0000 0.0000
In1 In 0.0000 0.5000 0.7500
Os1 Os 0.0000 0.0000 0.5000
Os2 Os 0.0000 0.5000 0.2500


Entry 2:
# PBE La2PrSi, optimized geometry
# **Energy above the lowest structure with this stoichiometry**: 11.4 kJ/mol of atoms
# **VASP energy**: -21.1 eV/cell
# **Formation energy without anion corrections**: -25.7 kJ per mole of atoms
data_La2PrSi
_cell_length_a 3.9481
_cell_length_b 3.9481
_cell_length_c 7.8481
_cell_angle_alpha 90.00
_cell_angle_beta 90.00
_cell_angle_gamma 90.00
_space_group_name_H-M_alt 'P 4/m m m'
_space_group_IT_number 123
_space_group_name_Hall '-P 4 2'
loop_
_atom_site_label
_atom_site_type_symbol
_atom_site_fract_x
_atom_site_fract_y
_atom_site_fract_z
La1 La 0.0000 0.0000 0.1910
Pr1 Pr 0.5000 0.5000 0.5000
Si1 Si 0.5000 0.5000 0.0000


Look up the VASP energy of the second one. -21.1 eV/cell


What did the second record say?
# PBE La2PrSi, optimized geometry
# **Energy above the lowest structure with this stoichiometry**: 11.4 kJ/mol of atoms
# **VASP energy**: -21.1 eV/cell
# **Formation energy without anion corrections**: -25.7 kJ per mole of atoms
data_La2PrSi
_cell_length_a 3.9481
_cell_length_b 3.9481
_cell_length_c 7.8481
_cell_angle_alpha 90.00
_cell_angle_beta 90.00
_cell_angle_gamma 90.00
_space_group_name_H-M_alt 'P 4/m m m'
_space_group_IT_number 123
_space_group_name_Hall '-P 4 2'
loop_
_atom_site_label
_atom_site_type_symbol
_atom_site_fract_x
_atom_site_fract_y
_atom_site_fract_z
La1 La 0.0000 0.0000 0.1910
Pr1 Pr 0.5000 0.5000 0.5000
Si1 Si 0.5000 0.5000 0.0000